Entry 1:
Computed, not measured: crystalline TaTe2Cl5 at its relaxed geometry at the GGA-PBE level of DFT.

## Properties
ΔE_f (raw)   -638 kJ/mol of formula units
Magnetic moment   0.00 μB/cell
DOS(E_F)   4.29 states/eV per cell
Space-group type   Cm (8)
Electronic total energy   -33.98 eV/cell

Geometry as POSCAR:
```
TaTe2Cl5
1.0
5.0079 0.0214 2.5807
2.4877 7.9594 1.3084
-1.1245 0.0341 8.3632
Ta Te Cl
1 2 5
Direct
0.8846 0.0000 0.0000 Ta
0.7088 0.5000 0.5004 Te
0.2292 0.5000 0.4995 Te
0.8358 0.9991 0.2841 Cl
0.1214 0.7159 0.0009 Cl
0.8354 0.2841 0.9992 Cl
0.1207 0.0009 0.7159 Cl
0.4871 0.0000 0.0001 Cl
```

***

Entry 2:
Computed, not measured: crystalline TaTeCl2 at its relaxed geometry at the GGA-PBE level of DFT.

## Properties
ΔE_f (raw)   -24 kJ/mol of formula units
Distance to the lowest polymorph of the same formula   660 meV per atom
Magnetic moment   0.00 μB/cell
DOS(E_F)   3.13 states/eV per cell
Space-group type   Cmm2 (35)
Electronic total energy   -18.94 eV/cell

Geometry as POSCAR:
```
TaTeCl2
1.0
3.2673 -0.0372 0.0000
-1.3609 2.9706 0.0000
0.0000 0.0000 9.4782
Cl Te Ta
2 1 1
Direct
0.0000 0.0000 0.9770 Cl
0.5000 0.5000 0.3006 Cl
0.5000 0.5000 0.7290 Te
0.0000 0.0000 0.4934 Ta
```

***

Entry 3:
Computed, not measured: crystalline TaTe2Cl at its relaxed geometry at the GGA-PBE level of DFT.

## Properties
ΔE_f (raw)   -49 kJ/mol of formula units
Distance to the lowest polymorph of the same formula   363 meV per atom
Magnetic moment   0.26 μB/cell
DOS(E_F)   4.04 states/eV per cell
Space-group type   P2/m (10)
Electronic total energy   -20.49 eV/cell

Geometry as POSCAR:
```
TaTe2Cl
1.0
-2.4661 -2.0341 -1.2702
-0.7468 -1.1007 3.2124
-5.7845 5.3971 2.5879
Cl Ta Te
1 1 2
Direct
0.5000 0.2500 0.2500 Cl
0.5000 0.7500 0.7500 Ta
0.0000 0.1320 0.9532 Te
0.0000 0.3680 0.5468 Te
```

***

Entry 4:
Computed, not measured: crystalline Ta2TeCl at its relaxed geometry at the GGA-PBE level of DFT.

## Properties
ΔE_f (raw)   136 kJ/mol of formula units
Distance to the lowest polymorph of the same formula   509 meV per atom
Magnetic moment   0.00 μB/cell
DOS(E_F)   2.45 states/eV per cell
Space-group type   Imm2 (44)
Electronic total energy   -27.28 eV/cell

Geometry as POSCAR:
```
Ta2TeCl
1.0
5.6552 0.0081 -0.0020
2.5985 5.0229 0.0020
-3.5882 -3.3992 2.7481
Cl Ta Te
1 2 1
Direct
0.2235 0.7235 0.5000 Cl
0.0313 0.0313 0.0000 Ta
0.7424 0.2424 0.5000 Ta
0.5028 0.5028 0.0000 Te
```